1.
# Si2AgPt

A geometry-optimized Si2AgPt structure (GGA-PBE, Alexandria).

## Properties
relative energy among the computed polymorphs: 79 meV/atom

Lattice parameters (Å, degrees): 7.9048 3.1454 5.3455 90.00 100.99 90.00
Closest atoms and distances in Å follow each position.
Space group C2/m (No. 12)
Asymmetric unit:
Si 0.2385 0.0000 0.2101 x4  3 Pt 2.53-2.55, 3 Ag 2.66-2.82, 2 Si 2.78
Ag 0.0000 0.0000 0.5000 x2  6 Si 2.66-2.82
Pt 0.0000 0.5000 0.0000 x2  6 Si 2.53-2.55

***

2.
# MnOs3

A geometry-optimized MnOs3 structure (GGA-PBE, Alexandria).

Lattice parameters (Å, degrees): 3.8008 3.8008 7.6096 90.00 90.00 90.00
Closest atoms and distances in Å follow each position.
Space group I4/mmm (No. 139)
Asymmetric unit:
Mn 0.0000 0.0000 0.0000 x2  12 Os 2.69
Os 0.0000 0.0000 0.5000 x2  4 Mn 2.69, 8 Os 2.69
Os 0.0000 0.5000 0.2500 x4  8 Os 2.69, 4 Mn 2.69

***

3.
# CaAlInCu2

A geometry-optimized CaAlInCu2 structure (GGA-PBE, Alexandria).

Lattice parameters (Å, degrees): 4.9098 4.9098 5.1272 90.00 90.00 90.00
Closest atoms and distances in Å follow each position.
Space group P4/mmm (No. 123)
Asymmetric unit:
Ca 0.0000 0.0000 0.0000 x1  4 Al 3.47, 8 Cu 3.55
Al 0.5000 0.5000 0.0000 x1  2 In 2.56
In 0.5000 0.5000 0.5000 x1  4 Cu 2.45, 2 Al 2.56
Cu 0.0000 0.5000 0.5000 x2  2 In 2.45

***

4.
# K2NaCdPd

A geometry-optimized K2NaCdPd structure (GGA-PBE, Alexandria).

Lattice parameters (Å, degrees): 6.2315 6.2315 5.3120 90.00 90.00 90.00
Closest atoms and distances in Å follow each position.
Space group P4/mmm (No. 123)
Asymmetric unit:
K 0.0000 0.5000 0.0000 x2  2 Pd 3.12
Na 0.0000 0.0000 0.5000 x1  8 K 4.09, 4 Cd 4.41
Cd 0.5000 0.5000 0.5000 x1  2 Pd 2.66
Pd 0.5000 0.5000 0.0000 x1  2 Cd 2.66

***

D(E_F) in states/eV/f.u., matching the order above: 1.542 3.729 2.438 2.093
Final energy in eV per atom, matching the order above: -4.980 -10.620 -2.942 -1.915